Material: Sr2CdSnO
Method: DFT, PBE-GGA
State: relaxed

space-group type: P4/mmm
ΔE_f (raw): 0.148 eV per atom
density of states at the Fermi level: 0.433 states/eV per atom

```
Sr2CdSnO
1.0
6.1953 0.0000 0.0000
0.0000 6.1953 0.0000
0.0000 0.0000 5.0488
Sr Cd Sn O
2 1 1 1
Cartesian
0.0000 3.0977 0.0000 Sr
3.0977 0.0000 0.0000 Sr
0.0000 0.0000 0.0000 Cd
0.0000 0.0000 2.5244 Sn
3.0977 3.0977 2.5244 O
```